Record 1
VASP calculation (GGA-PBEsol) on a relaxed structure of FePb2I.

Summary:
The calculated density comes out at 9.319 Mg/m³. The uncorrected formation energy comes out at 17.251 kcal/mol of atoms. Its space group is Fm-3m. The calculation puts the density of states at the Fermi level at 1.288 states/eV/atom.

The structure in POSCAR format:
```
FePb2I
1.0
0.0000 3.7611 3.7611
3.7611 0.0000 3.7611
3.7611 3.7611 0.0000
Fe Pb I
1 2 1
direct
0.0000 0.0000 0.0000
0.2500 0.2500 0.2500
0.7500 0.7500 0.7500
0.5000 0.5000 0.5000
```

Record 2
VASP calculation (GGA-PBEsol) on a relaxed structure of Sr2FePbI.

Summary:
The calculated density comes out at 4.745 Mg/m³. The uncorrected formation energy comes out at -0.442 kcal/mol of atoms. Its space group is P4/mmm. The calculation puts the density of states at the Fermi level at 0.442 states/eV/atom.

The structure in POSCAR format:
```
Sr2FePbI
1.0
6.3407 0.0000 0.0000
0.0000 6.3407 0.0000
0.0000 0.0000 4.9199
Sr Fe Pb I
2 1 1 1
direct
0.0000 0.5000 0.0000
0.5000 0.0000 0.0000
0.0000 0.0000 0.5000
0.0000 0.0000 0.0000
0.5000 0.5000 0.5000
```

Record 3
VASP calculation (GGA-PBEsol) on a relaxed structure of FeTe2PbI.

Summary:
The calculated density comes out at 7.679 Mg/m³. The uncorrected formation energy comes out at 3.897 kcal/mol of atoms. Its space group is P4/mmm. The calculation puts the density of states at the Fermi level at 1.106 states/eV/atom.

The structure in POSCAR format:
```
FeTe2PbI
1.0
5.0665 0.0000 0.0000
0.0000 5.0665 0.0000
0.0000 0.0000 5.4350
Fe Te Pb I
1 2 1 1
direct
0.0000 0.0000 0.0000
0.0000 0.5000 0.0000
0.5000 0.0000 0.0000
0.5000 0.5000 0.5000
0.0000 0.0000 0.5000
```

Record 4
VASP calculation (GGA-PBEsol) on a relaxed structure of ZrFe2PbI.

Summary:
The calculated density comes out at 6.763 Mg/m³. The uncorrected formation energy comes out at 30.752 kcal/mol of atoms. Its space group is P4/mmm. The calculation puts the density of states at the Fermi level at 1.839 states/eV/atom.

The structure in POSCAR format:
```
ZrFe2PbI
1.0
4.8670 0.0000 0.0000
0.0000 4.8670 0.0000
0.0000 0.0000 5.5663
Zr Fe Pb I
1 2 1 1
direct
0.0000 0.0000 0.0000
0.0000 0.5000 0.5000
0.5000 0.0000 0.5000
0.0000 0.0000 0.5000
0.5000 0.5000 0.0000
```

Record 5
VASP calculation (GGA-PBEsol) on a relaxed structure of FePd3I.

Summary:
The calculated density comes out at 8.492 Mg/m³. The uncorrected formation energy comes out at 16.702 kcal/mol of atoms. Its space group is Pm-3m. The calculation puts the density of states at the Fermi level at 0.712 states/eV/atom. The relative energy among the computed polymorphs comes out at 0 meV/atom.

The structure in POSCAR format:
```
FePd3I
1.0
4.6130 0.0000 0.0000
0.0000 4.6130 0.0000
0.0000 0.0000 4.6130
Fe Pd I
1 3 1
direct
0.0000 0.0000 0.0000
0.0000 0.0000 0.5000
0.0000 0.5000 0.0000
0.5000 0.0000 0.0000
0.5000 0.5000 0.5000
```

Record 6
VASP calculation (GGA-PBEsol) on a relaxed structure of YFe2PdI.

Summary:
The calculated density comes out at 6.055 Mg/m³. The uncorrected formation energy comes out at 35.310 kcal/mol of atoms. Its space group is P4/mmm. The calculation puts the density of states at the Fermi level at 0.847 states/eV/atom.

The structure in POSCAR format:
```
YFe2PdI
1.0
4.6143 0.0000 0.0000
0.0000 4.6143 0.0000
0.0000 0.0000 5.5893
Y Fe Pd I
1 2 1 1
direct
0.0000 0.0000 0.0000
0.0000 0.5000 0.0000
0.5000 0.0000 0.0000
0.5000 0.5000 0.5000
0.0000 0.0000 0.5000
```

Record 7
VASP calculation (GGA-PBEsol) on a relaxed structure of ZnFePd2I.

Summary:
The calculated density comes out at 7.736 Mg/m³. The uncorrected formation energy comes out at 15.838 kcal/mol of atoms. Its space group is P4/mmm. The calculation puts the density of states at the Fermi level at 0.786 states/eV/atom.

The structure in POSCAR format:
```
ZnFePd2I
1.0
4.6519 0.0000 0.0000
0.0000 4.6519 0.0000
0.0000 0.0000 4.5724
Zn Fe Pd I
1 1 2 1
direct
0.0000 0.0000 0.0000
0.0000 0.0000 0.5000
0.0000 0.5000 0.5000
0.5000 0.0000 0.5000
0.5000 0.5000 0.0000
```

Record 8
VASP calculation (GGA-PBEsol) on a relaxed structure of RbFeI3.

Summary:
The calculated density comes out at 5.087 Mg/m³. The uncorrected formation energy comes out at -11.742 kcal/mol of atoms. Its space group is Pm-3m. The calculation puts the density of states at the Fermi level at 1.133 states/eV/atom.

The structure in POSCAR format:
```
RbFeI3
1.0
5.5440 0.0000 0.0000
0.0000 5.5440 0.0000
0.0000 0.0000 5.5440
Rb Fe I
1 1 3
direct
0.0000 0.0000 0.0000
0.5000 0.5000 0.5000
0.0000 0.5000 0.5000
0.5000 0.0000 0.5000
0.5000 0.5000 0.0000
```